Entry 1:
First-principles (GGA-PBE) data for an optimized crystal structure of CdBSe3, as listed in the Alexandria database.

Cell lengths 5.2238, 5.2238, 5.2238 Å; angles 90.00, 90.00, 90.00 degrees
With the nearest neighbours (Å) after each atom.
Space group Pm-3m (No. 221)
Unique sites:
Cd (0.0000, 0.0000, 0.0000) (multiplicity 1)  6 Se 2.61
B (0.5000, 0.5000, 0.5000) (multiplicity 1)  12 Se 3.69
Se (0.0000, 0.0000, 0.5000) (multiplicity 3)  2 Cd 2.61

Energy: -2.1993 eV/atom

=====

Entry 2:
First-principles (GGA-PBE) data for an optimized crystal structure of MnAl2Ag, as listed in the Alexandria database.

Cell lengths 2.8496, 2.8496, 25.8875 Å; angles 90.00, 90.00, 120.00 degrees
With the nearest neighbours (Å) after each atom.
Space group R3m (No. 160, hexagonal axes)
Unique sites:
Mn (0.0000, 0.0000, 0.0000) (multiplicity 3)  6 Al 2.57-2.58, 6 Mn 2.85
Al (0.0000, 0.0000, 0.4103) (multiplicity 3)  3 Mn 2.58, 6 Al 2.85, 3 Ag 2.87
Al (0.0000, 0.0000, 0.5903) (multiplicity 3)  3 Mn 2.57, 3 Ag 2.83, 6 Al 2.85
Ag (0.0000, 0.0000, 0.8346) (multiplicity 3)  6 Al 2.83-2.87, 6 Ag 2.85

Energy: -4.9551 eV/atom

=====

Entry 3:
First-principles (GGA-PBE) data for an optimized crystal structure of SrDy2TcN4, as listed in the Alexandria database.

Cell lengths 3.4434, 12.0957, 12.0617 Å; angles 90.00, 90.00, 90.00 degrees
With the nearest neighbours (Å) after each atom.
Space group Cmcm (No. 63)
Unique sites:
Sr (0.0000, 0.0704, 0.2500) (multiplicity 4)  2 N 2.63
Dy (0.0000, 0.3715, 0.0416) (multiplicity 8)  6 N 2.30-2.55
Tc (0.0000, 0.1882, 0.7500) (multiplicity 4)  4 N 1.87-2.06
N (0.0000, 0.0000, 0.0000) (multiplicity 4)  4 Dy 2.37
N (0.0000, 0.2597, 0.6127) (multiplicity 8)  1 Tc 1.87
N (0.0000, 0.4060, 0.2500) (multiplicity 4)  2 Tc 2.06

Energy: -7.8137 eV/atom